DFT (PBE with a Hubbard U) results for an optimized crystal structure of CaNiO2.

Structure (CIF):
```
data_CaNiO2
_space_group_name_H-M_alt 'P 4/m m m'
_space_group_IT_number 123
_space_group_name_Hall '-P 4 2'
_cell_length_a 3.788
_cell_length_b 3.788
_cell_length_c 3.230
_cell_angle_alpha 90.00
_cell_angle_beta 90.00
_cell_angle_gamma 90.00
loop_
_atom_site_label
_atom_site_type_symbol
_atom_site_fract_x
_atom_site_fract_y
_atom_site_fract_z
Ca1 Ca 0.000 0.000 0.000
Ni1 Ni 0.500 0.500 0.500
O1 O 0.000 0.500 0.500
```

## Properties
* DOS at the Fermi energy: 0.0 states/eV/f.u.
* crystal system: tetragonal
* calculated total energy: -5.397 eV per atom